1.
DFT (PBE-GGA) results for a relaxed Dy2Ni crystal.

Lattice parameters (Å, degrees): 7.8827 7.8827 3.8670 90.00 90.00 120.00
Space group P-62m (No. 189)
Unique sites:
Dy1 0.0000 0.2482 0.0000 (multiplicity 3)
Dy2 0.0000 0.5836 0.5000 (multiplicity 3)
Ni1 0.0000 0.0000 0.5000 (multiplicity 1)
Ni2 0.3333 0.6667 0.0000 (multiplicity 2)

Energy, eV per atom: -5.102
Formation energy, eV/atom: -0.18

=====

2.
DFT (PBE-GGA) results for a relaxed Dy2Ni crystal.

Lattice parameters (Å, degrees): 11.501 11.501 11.501 90.00 90.00 90.00
Space group Fd-3m (No. 227, origin choice 2)
Unique sites:
Dy1 0.000 0.000 0.000 (multiplicity 16)
Ni1 0.125 0.125 0.125 (multiplicity 8)

Energy, eV per atom: -3.869
Formation energy, eV/atom: 1.05

=====

3.
DFT (PBE-GGA) results for a relaxed DyNi crystal.

Lattice parameters (Å, degrees): 3.7321 3.7321 10.1739 90.00 90.00 120.00
Space group R-3m (No. 166, hexagonal axes)
Unique sites:
Dy1 0.0000 0.0000 0.0000 (multiplicity 3)
Ni1 0.0000 0.0000 0.5000 (multiplicity 3)

Energy, eV per atom: -5.302
Formation energy, eV/atom: -0.22

=====

4.
DFT (PBE-GGA) results for a relaxed Dy2Ni crystal.

Lattice parameters (Å, degrees): 8.431 8.431 8.431 90.00 90.00 90.00
Space group Fd-3m (No. 227, origin choice 2)
Unique sites:
Dy1 0.000 0.000 0.000 (multiplicity 16)
Ni1 0.125 0.125 0.625 (multiplicity 8)

Energy, eV per atom: -4.047
Formation energy, eV/atom: 0.88

=====

5.
DFT (PBE-GGA) results for a relaxed Dy2Ni crystal.

Lattice parameters (Å, degrees): 6.423 6.423 3.971 90.00 90.00 90.00
Space group P4_2/mnm (No. 136)
Unique sites:
Dy1 0.200 0.200 0.000 (multiplicity 4)
Ni1 0.000 0.000 0.500 (multiplicity 2)

Energy, eV per atom: -5.096
Formation energy, eV/atom: -0.17

=====

6.
DFT (PBE-GGA) results for a relaxed Dy3Ni crystal.

Lattice parameters (Å, degrees): 7.347 7.347 7.347 90.00 90.00 90.00
Space group Fm-3m (No. 225)
Unique sites:
Dy1 0.000 0.000 0.000 (multiplicity 4)
Dy2 0.250 0.250 0.250 (multiplicity 8)
Ni1 0.000 0.000 0.500 (multiplicity 4)

Energy, eV per atom: -4.647
Formation energy, eV/atom: 0.20

=====

7.
DFT (PBE-GGA) results for a relaxed DyNpNi crystal.

Lattice parameters (Å, degrees): 6.606 6.606 6.606 90.00 90.00 90.00
Space group F-43m (No. 216)
Unique sites:
Dy1 0.000 0.000 0.000 (multiplicity 4)
Np1 0.000 0.000 0.500 (multiplicity 4)
Ni1 0.250 0.250 0.750 (multiplicity 4)

Energy, eV per atom: -6.970
Formation energy, eV/atom: 0.68
Energy above the lowest structure with this stoichiometry, meV per atom: 0.0

=====

8.
DFT (PBE-GGA) results for a relaxed DyNi3Os crystal.

Lattice parameters (Å, degrees): 2.761 5.588 5.635 62.51 76.20 85.68
Space group P1 (No. 1)
Unique sites:
Dy1 0.000 0.000 0.000 (multiplicity 1)
Ni1 0.439 0.513 0.552 (multiplicity 1)
Ni2 0.525 0.936 0.529 (multiplicity 1)
Ni3 0.755 0.569 0.898 (multiplicity 1)
Os1 0.088 0.338 0.306 (multiplicity 1)

Energy, eV per atom: -6.399
Formation energy, eV/atom: 0.11